Entry 1:
# PmPr4Nd2Cd, relaxed, DFT PBE
data_PmPr4Nd2Cd
_space_group_name_H-M_alt 'P 4/m m m'
_space_group_IT_number 123
_space_group_name_Hall '-P 4 2'
_cell_length_a 5.900
_cell_length_b 5.900
_cell_length_c 7.704
_cell_angle_alpha 90.00
_cell_angle_beta 90.00
_cell_angle_gamma 90.00
loop_
_atom_site_label
_atom_site_type_symbol
_atom_site_fract_x
_atom_site_fract_y
_atom_site_fract_z
Pm1 Pm 0.000 0.000 0.000
Pr1 Pr 0.000 0.500 0.271
Nd1 Nd 0.000 0.000 0.500
Nd2 Nd 0.500 0.500 0.000
Cd1 Cd 0.500 0.500 0.500
# **D(E_F)**: 1.550 states/eV per atom
# **DFT total energy**: -4.27 eV/atom
# **Total magnetic moment**: 0.00 μB/f.u.
# **Formation energy from the elements**: 0.017 eV/atom
# **Volume**: 33.5 Å³/atom

***

Entry 2:
# Rb3Sm3AlSe8, relaxed, DFT PBE
data_Rb3Sm3AlSe8
_space_group_name_H-M_alt 'C 1 2/m 1'
_space_group_IT_number 12
_space_group_name_Hall '-C 2y'
_cell_length_a 14.464
_cell_length_b 8.344
_cell_length_c 9.557
_cell_angle_alpha 90.00
_cell_angle_beta 120.32
_cell_angle_gamma 90.00
loop_
_atom_site_label
_atom_site_type_symbol
_atom_site_fract_x
_atom_site_fract_y
_atom_site_fract_z
Rb1 Rb 0.000 0.000 0.000
Rb2 Rb 0.250 0.250 0.000
Sm1 Sm 0.000 0.500 0.500
Sm2 Sm 0.250 0.250 0.500
Al1 Al 0.000 0.000 0.500
Se1 Se 0.015 0.227 0.316
Se2 Se 0.213 0.000 0.683
Se3 Se 0.234 0.500 0.701
# **D(E_F)**: 0.818 states/eV per atom
# **Raw formation energy**: -2073 kJ/mol of formula units
# **DFT total energy**: -4.68 eV/atom
# **Total magnetic moment**: 0.00 μB/f.u.
# **Volume**: 33.2 Å³/atom

***

Entry 3:
# Tb4Nd8Y3, relaxed, DFT PBE
data_Tb4Nd8Y3
_space_group_name_H-M_alt 'C 1 2/m 1'
_space_group_IT_number 12
_space_group_name_Hall '-C 2y'
_cell_length_a 13.858
_cell_length_b 12.252
_cell_length_c 6.924
_cell_angle_alpha 90.00
_cell_angle_beta 118.19
_cell_angle_gamma 90.00
loop_
_atom_site_label
_atom_site_type_symbol
_atom_site_fract_x
_atom_site_fract_y
_atom_site_fract_z
Tb1 Tb 0.000 0.000 0.000
Tb2 Tb 0.000 0.000 0.500
Tb3 Tb 0.250 0.250 0.000
Nd1 Nd 0.000 0.246 0.500
Nd2 Nd 0.000 0.296 0.000
Nd3 Nd 0.203 0.500 0.176
Nd4 Nd 0.244 0.000 0.284
Y1 Y 0.000 0.500 0.500
Y2 Y 0.250 0.250 0.500
# **D(E_F)**: 1.572 states/eV per atom
# **DFT total energy**: -4.74 eV/atom
# **Total magnetic moment**: 0.00 μB/f.u.
# **Formation energy from the elements**: 0.331 eV/atom
# **Volume**: 34.5 Å³/atom

***

Entry 4:
# TaPbAu2, relaxed, DFT PBE
data_TaPbAu2
_space_group_name_H-M_alt 'P 4 m m'
_space_group_IT_number 99
_space_group_name_Hall 'P 4 -2'
_cell_length_a 3.130
_cell_length_b 3.130
_cell_length_c 8.427
_cell_angle_alpha 90.00
_cell_angle_beta 90.00
_cell_angle_gamma 90.00
loop_
_atom_site_label
_atom_site_type_symbol
_atom_site_fract_x
_atom_site_fract_y
_atom_site_fract_z
Ta1 Ta 0.000 0.000 0.000
Pb1 Pb 0.500 0.500 0.722
Au1 Au 0.000 0.000 0.431
Au2 Au 0.500 0.500 0.206
# **D(E_F)**: 0.501 states/eV per atom
# **DFT total energy**: -5.33 eV/atom
# **Total magnetic moment**: 0.00 μB/f.u.
# **Formation energy from the elements**: 0.202 eV/atom
# **Volume**: 20.6 Å³/atom

***

Entry 5:
# Sr2TlRh, relaxed, DFT PBE
data_Sr2TlRh
_space_group_name_H-M_alt 'P 4 m m'
_space_group_IT_number 99
_space_group_name_Hall 'P 4 -2'
_cell_length_a 3.722
_cell_length_b 3.722
_cell_length_c 8.963
_cell_angle_alpha 90.00
_cell_angle_beta 90.00
_cell_angle_gamma 90.00
loop_
_atom_site_label
_atom_site_type_symbol
_atom_site_fract_x
_atom_site_fract_y
_atom_site_fract_z
Sr1 Sr 0.000 0.000 0.000
Sr2 Sr 0.500 0.500 0.407
Tl1 Tl 0.000 0.000 0.643
Rh1 Rh 0.500 0.500 0.787
# **D(E_F)**: 0.490 states/eV per atom
# **DFT total energy**: -3.40 eV/atom
# **Total magnetic moment**: 0.00 μB/f.u.
# **Formation energy from the elements**: -0.133 eV/atom
# **Excess energy over the best structure of this formula in the dataset**: 0.1587 eV per atom
# **Volume**: 31.0 Å³/atom

***

Entry 6:
# MnAlGe3, relaxed, DFT PBE
data_MnAlGe3
_space_group_name_H-M_alt 'P m -3 m'
_space_group_IT_number 221
_space_group_name_Hall '-P 4 2 3'
_cell_length_a 4.856
_cell_length_b 4.856
_cell_length_c 4.856
_cell_angle_alpha 90.00
_cell_angle_beta 90.00
_cell_angle_gamma 90.00
loop_
_atom_site_label
_atom_site_type_symbol
_atom_site_fract_x
_atom_site_fract_y
_atom_site_fract_z
Mn1 Mn 0.000 0.000 0.000
Al1 Al 0.500 0.500 0.500
Ge1 Ge 0.000 0.500 0.500
# **D(E_F)**: 0.589 states/eV per atom
# **DFT total energy**: -4.54 eV/atom
# **Total magnetic moment**: 4.38 μB/f.u.
# **Formation energy from the elements**: 0.813 eV/atom
# **Excess energy over the best structure of this formula in the dataset**: 0.5020 eV per atom
# **Volume**: 22.9 Å³/atom

***

Entry 7:
# VIr6Rh, relaxed, DFT PBE
data_VIr6Rh
_space_group_name_H-M_alt 'P 4/m m m'
_space_group_IT_number 123
_space_group_name_Hall '-P 4 2'
_cell_length_a 3.854
_cell_length_b 3.854
_cell_length_c 7.703
_cell_angle_alpha 90.00
_cell_angle_beta 90.00
_cell_angle_gamma 90.00
loop_
_atom_site_label
_atom_site_type_symbol
_atom_site_fract_x
_atom_site_fract_y
_atom_site_fract_z
V1 V 0.000 0.000 0.000
Ir1 Ir 0.000 0.500 0.246
Ir2 Ir 0.500 0.500 0.000
Ir3 Ir 0.500 0.500 0.500
Rh1 Rh 0.000 0.000 0.500
# **D(E_F)**: 1.350 states/eV per atom
# **DFT total energy**: -8.93 eV/atom
# **Total magnetic moment**: 0.00 μB/f.u.
# **Formation energy from the elements**: -0.224 eV/atom
# **Volume**: 14.3 Å³/atom

***

Entry 8:
# BeAl3Bi, relaxed, DFT PBE
data_BeAl3Bi
_space_group_name_H-M_alt 'P m -3 m'
_space_group_IT_number 221
_space_group_name_Hall '-P 4 2 3'
_cell_length_a 5.542
_cell_length_b 5.542
_cell_length_c 5.542
_cell_angle_alpha 90.00
_cell_angle_beta 90.00
_cell_angle_gamma 90.00
loop_
_atom_site_label
_atom_site_type_symbol
_atom_site_fract_x
_atom_site_fract_y
_atom_site_fract_z
Be1 Be 0.000 0.000 0.000
Al1 Al 0.000 0.500 0.500
Bi1 Bi 0.500 0.500 0.500
# **D(E_F)**: 0.815 states/eV per atom
# **DFT total energy**: -2.26 eV/atom
# **Total magnetic moment**: 0.00 μB/f.u.
# **Formation energy from the elements**: 1.509 eV/atom
# **Excess energy over the best structure of this formula in the dataset**: 1.1821 eV per atom
# **Volume**: 34.0 Å³/atom

***

Entry 9:
# Dy2SbF, relaxed, DFT PBE
data_Dy2SbF
_space_group_name_H-M_alt 'R -3 m'
_space_group_IT_number 166
_space_group_name_Hall '-R 3 2"'
_cell_length_a 4.0984
_cell_length_b 4.0984
_cell_length_c 19.2943
_cell_angle_alpha 90.00
_cell_angle_beta 90.00
_cell_angle_gamma 120.00
loop_
_atom_site_label
_atom_site_type_symbol
_atom_site_fract_x
_atom_site_fract_y
_atom_site_fract_z
Dy1 Dy 0.0000 0.0000 0.2369
Sb1 Sb 0.0000 0.0000 0.0000
F1 F 0.0000 0.0000 0.5000
# **D(E_F)**: 0.444 states/eV per atom
# **Raw formation energy**: -594 kJ/mol of formula units
# **DFT total energy**: -5.34 eV/atom
# **Total magnetic moment**: 0.00 μB/f.u.
# **Volume**: 23.4 Å³/atom

***

Entry 10:
# K5Li2Br6, relaxed, DFT PBE
data_K5Li2Br6
_space_group_name_H-M_alt 'P b a m'
_space_group_IT_number 55
_space_group_name_Hall '-P 2 2ab'
_cell_length_a 13.193
_cell_length_b 16.763
_cell_length_c 4.490
_cell_angle_alpha 90.00
_cell_angle_beta 90.00
_cell_angle_gamma 90.00
loop_
_atom_site_label
_atom_site_type_symbol
_atom_site_fract_x
_atom_site_fract_y
_atom_site_fract_z
K1 K 0.000 0.000 0.000
K2 K 0.140 0.466 0.000
K3 K 0.165 0.732 0.000
Li1 Li 0.087 0.279 0.500
Br1 Br 0.055 0.611 0.500
Br2 Br 0.077 0.203 0.000
Br3 Br 0.246 0.859 0.500
# **D(E_F)**: 0.110 states/eV per atom
# **Raw formation energy**: -1865 kJ/mol of formula units
# **DFT total energy**: -2.98 eV/atom
# **Total magnetic moment**: 0.00 μB/f.u.
# **Volume**: 38.2 Å³/atom

***

Entry 11:
# Sr2ScTl, relaxed, DFT PBE
data_Sr2ScTl
_space_group_name_H-M_alt 'P 4/m m m'
_space_group_IT_number 123
_space_group_name_Hall '-P 4 2'
_cell_length_a 5.084
_cell_length_b 5.084
_cell_length_c 5.173
_cell_angle_alpha 90.00
_cell_angle_beta 90.00
_cell_angle_gamma 90.00
loop_
_atom_site_label
_atom_site_type_symbol
_atom_site_fract_x
_atom_site_fract_y
_atom_site_fract_z
Sr1 Sr 0.000 0.500 0.000
Sc1 Sc 0.000 0.000 0.500
Tl1 Tl 0.500 0.500 0.500
# **D(E_F)**: 0.544 states/eV per atom
# **DFT total energy**: -3.00 eV/atom
# **Total magnetic moment**: 0.00 μB/f.u.
# **Formation energy from the elements**: 0.018 eV/atom
# **Excess energy over the best structure of this formula in the dataset**: 0.0742 eV per atom
# **Volume**: 33.4 Å³/atom

***

Entry 12:
# Tl3InPb6, relaxed, DFT PBE
data_Tl3InPb6
_space_group_name_H-M_alt 'P 1 21/m 1'
_space_group_IT_number 11
_space_group_name_Hall '-P 2yb'
_cell_length_a 13.761
_cell_length_b 3.580
_cell_length_c 13.871
_cell_angle_alpha 90.00
_cell_angle_beta 111.41
_cell_angle_gamma 90.00
loop_
_atom_site_label
_atom_site_type_symbol
_atom_site_fract_x
_atom_site_fract_y
_atom_site_fract_z
Tl1 Tl 0.034 0.250 0.119
Tl2 Tl 0.138 0.250 0.580
Tl3 Tl 0.361 0.750 0.535
In1 In 0.414 0.250 0.026
Pb1 Pb 0.083 0.750 0.355
Pb2 Pb 0.158 0.250 0.839
Pb3 Pb 0.229 0.750 0.073
Pb4 Pb 0.276 0.250 0.309
Pb5 Pb 0.346 0.750 0.792
Pb6 Pb 0.467 0.750 0.260
# **D(E_F)**: 0.483 states/eV per atom
# **DFT total energy**: -3.18 eV/atom
# **Total magnetic moment**: 0.00 μB/f.u.
# **Formation energy from the elements**: 0.030 eV/atom
# **Excess energy over the best structure of this formula in the dataset**: 0.0000 eV per atom
# **Volume**: 31.8 Å³/atom